1.
VASP calculation (PBE) on a geometry-optimized TcPPdCl2 structure.

Properties
- magnetic moment (μB per cell) = 1.206
- volume (Å³ per cell) = 107.45
- crystal system = tetragonal
- space group = P4/mmm

Structure (POSCAR):
```
TcPPdCl2
1.0
4.8407 0.0000 0.0000
0.0000 4.8407 0.0000
0.0000 0.0000 4.5857
P Tc Pd Cl
1 1 1 2
direct
0.0000 0.0000 0.5000
0.0000 0.0000 0.0000
0.5000 0.5000 0.5000
0.0000 0.5000 0.0000
0.5000 0.0000 0.0000
```

2.
VASP calculation (PBE) on a geometry-optimized TcPPdCl2 structure.

Properties
- magnetic moment (μB per cell) = 4.218
- volume (Å³ per cell) = 110.63
- crystal system = tetragonal
- space group = P4/mmm

Structure (POSCAR):
```
TcPPdCl2
1.0
4.7640 0.0000 0.0000
0.0000 4.7640 0.0000
0.0000 0.0000 4.8744
P Tc Pd Cl
1 1 1 2
direct
0.0000 0.0000 0.5000
0.5000 0.5000 0.5000
0.0000 0.0000 0.0000
0.0000 0.5000 0.0000
0.5000 0.0000 0.0000
```

Stability check: which of them is least stable? 2.

1.
VASP calculation (PBE) on a geometry-optimized TiPPdCl2 structure.

Properties
- magnetic moment (μB per cell) = 0.751
- volume (Å³ per cell) = 107.10
- crystal system = tetragonal
- space group = P4/mmm

Structure (POSCAR):
```
TiPPdCl2
1.0
-0.5654 -4.2898 1.6566
3.4348 -1.5037 -2.7216
3.2926 0.9649 3.6224
P Cl Pd Ti
1 2 1 1
direct
0.0000 0.0000 0.5000
0.0000 0.5000 0.0000
0.5000 0.0000 0.0000
0.5000 0.5000 0.5000
0.0000 0.0000 0.0000
```

2.
VASP calculation (PBE) on a geometry-optimized TiPPdCl2 structure.

Properties
- magnetic moment (μB per cell) = 0.148
- volume (Å³ per cell) = 107.94
- crystal system = tetragonal
- space group = P4/mmm

Structure (POSCAR):
```
TiPPdCl2
1.0
-0.4660 2.7005 3.8217
-4.3469 1.1723 -1.3584
-1.7985 -3.8062 2.4703
P Cl Pd Ti
1 2 1 1
direct
0.0000 0.0000 0.5000
0.0000 0.5000 0.0000
0.5000 0.0000 0.0000
0.0000 0.0000 0.0000
0.5000 0.5000 0.5000
```

Stability check: which of them is least stable? 2.

1.
VASP calculation (PBE) on a geometry-optimized TiP2PdCl structure.

Properties
- magnetic moment (μB per cell) = 0.004
- volume (Å³ per cell) = 102.13
- crystal system = tetragonal
- space group = P4/mmm

Structure (POSCAR):
```
TiP2PdCl
1.0
-3.3637 2.4727 2.0398
-3.1755 -2.1670 -2.6096
-0.4454 -3.3427 3.3178
P Cl Pd Ti
2 1 1 1
direct
0.0000 0.5000 0.0000
0.5000 0.0000 0.0000
0.0000 0.0000 0.5000
0.0000 0.0000 0.0000
0.5000 0.5000 0.5000
```

2.
VASP calculation (PBE) on a geometry-optimized TiP2PdCl structure.

Properties
- magnetic moment (μB per cell) = 0.000
- volume (Å³ per cell) = 103.88
- crystal system = tetragonal
- space group = P4/mmm

Structure (POSCAR):
```
TiP2PdCl
1.0
-3.8679 2.6179 0.8241
-2.7059 -3.3996 -1.9011
-0.4466 -1.9677 4.1543
P Cl Pd Ti
2 1 1 1
direct
0.0000 0.5000 0.0000
0.5000 0.0000 0.0000
0.0000 0.0000 0.5000
0.5000 0.5000 0.5000
0.0000 0.0000 0.0000
```

Stability check: which of them is least stable? 1.

1.
VASP calculation (PBE) on a geometry-optimized TlPPdCl2 structure.

Properties
- magnetic moment (μB per cell) = 2.262
- volume (Å³ per cell) = 151.45
- crystal system = tetragonal
- space group = P4/mmm

Structure (POSCAR):
```
TlPPdCl2
1.0
5.3735 0.0000 0.0000
0.0000 5.3735 0.0000
0.0000 0.0000 5.2451
P Tl Pd Cl
1 1 1 2
direct
0.0000 0.0000 0.5000
0.0000 0.0000 0.0000
0.5000 0.5000 0.5000
0.0000 0.5000 0.0000
0.5000 0.0000 0.0000
```

2.
VASP calculation (PBE) on a geometry-optimized TlPPdCl2 structure.

Properties
- magnetic moment (μB per cell) = 0.000
- volume (Å³ per cell) = 126.68
- crystal system = tetragonal
- space group = P4/mmm

Structure (POSCAR):
```
TlPPdCl2
1.0
5.3079 0.0000 0.0000
0.0000 5.3079 0.0000
0.0000 0.0000 4.4963
P Tl Pd Cl
1 1 1 2
direct
0.0000 0.0000 0.5000
0.5000 0.5000 0.5000
0.0000 0.0000 0.0000
0.0000 0.5000 0.0000
0.5000 0.0000 0.0000
```

Stability check: which of them is least stable? 1.

1.
VASP calculation (PBE) on a geometry-optimized VP2PdCl structure.

Properties
- magnetic moment (μB per cell) = 0.371
- volume (Å³ per cell) = 102.31
- crystal system = tetragonal
- space group = P4/mmm

Structure (POSCAR):
```
VP2PdCl
1.0
-2.4686 -3.6814 -1.3230
1.8544 -2.4787 3.4372
-3.5606 1.3479 2.8930
P Cl Pd V
2 1 1 1
direct
0.0000 0.5000 0.0000
0.5000 0.0000 0.0000
0.0000 0.0000 0.5000
0.0000 0.0000 0.0000
0.5000 0.5000 0.5000
```

2.
VASP calculation (PBE) on a geometry-optimized VP2PdCl structure.

Properties
- magnetic moment (μB per cell) = 0.000
- volume (Å³ per cell) = 95.27
- crystal system = tetragonal
- space group = P4/mmm

Structure (POSCAR):
```
VP2PdCl
1.0
-1.2791 3.7492 2.2223
-3.0272 0.9019 -3.2640
-3.1876 -2.4401 2.2821
P Cl Pd V
2 1 1 1
direct
0.0000 0.5000 0.0000
0.5000 0.0000 0.0000
0.0000 0.0000 0.5000
0.5000 0.5000 0.5000
0.0000 0.0000 0.0000
```

Stability check: which of them is least stable? 1.

1.
VASP calculation (PBE) on a geometry-optimized YP2PdCl structure.

Properties
- magnetic moment (μB per cell) = 0.000
- volume (Å³ per cell) = 106.29
- crystal system = tetragonal
- space group = P4/mmm

Structure (POSCAR):
```
YP2PdCl
1.0
4.6833 0.0000 0.0000
0.0000 4.6833 0.0000
0.0000 0.0000 4.8461
Y P Pd Cl
1 2 1 1
direct
0.5000 0.5000 0.5000
0.0000 0.5000 0.0000
0.5000 0.0000 0.0000
0.0000 0.0000 0.0000
0.0000 0.0000 0.5000
```

2.
VASP calculation (PBE) on a geometry-optimized YP2PdCl structure.

Properties
- magnetic moment (μB per cell) = 0.001
- volume (Å³ per cell) = 144.80
- crystal system = tetragonal
- space group = P4/mmm

Structure (POSCAR):
```
YP2PdCl
1.0
5.3369 0.0000 0.0000
0.0000 5.3369 0.0000
0.0000 0.0000 5.0839
Y P Pd Cl
1 2 1 1
direct
0.0000 0.0000 0.0000
0.0000 0.5000 0.0000
0.5000 0.0000 0.0000
0.5000 0.5000 0.5000
0.0000 0.0000 0.5000
```

Stability check: which of them is least stable? 2.

1.
VASP calculation (PBE) on a geometry-optimized ZrP2PdCl structure.

Properties
- magnetic moment (μB per cell) = 0.000
- volume (Å³ per cell) = 125.57
- crystal system = tetragonal
- space group = P4/mmm

Structure (POSCAR):
```
ZrP2PdCl
1.0
5.0556 0.0000 0.0000
0.0000 5.0556 0.0000
0.0000 0.0000 4.9129
P Zr Pd Cl
2 1 1 1
direct
0.0000 0.5000 0.0000
0.5000 0.0000 0.0000
0.0000 0.0000 0.0000
0.5000 0.5000 0.5000
0.0000 0.0000 0.5000
```

2.
VASP calculation (PBE) on a geometry-optimized ZrP2PdCl structure.

Properties
- magnetic moment (μB per cell) = 0.000
- volume (Å³ per cell) = 101.49
- crystal system = tetragonal
- space group = P4/mmm

Structure (POSCAR):
```
ZrP2PdCl
1.0
-2.4795 2.1892 -3.3048
2.0736 -2.6059 -3.2820
-3.3544 -3.1831 0.4080
P Zr Pd Cl
2 1 1 1
direct
0.0000 0.5000 0.0000
0.5000 0.0000 0.0000
0.5000 0.5000 0.5000
0.0000 0.0000 0.0000
0.0000 0.0000 0.5000
```

Stability check: which of them is least stable? 2.